LiBe2P (meta-GGA SCAN, single point on PBEsol structure); D(E_F) = 3.7 states/eV per cell; energy of formation = 0.400 eV per atom; volume = 136.2 Å³ per cell
1.0
2.610 0.000 0.000
-1.305 2.260 0.000
0.000 0.000 23.077
Li Be P
3 6 3
Direct
0.000 0.000 0.000 Li
0.333 0.667 0.667 Li
0.667 0.333 0.333 Li
0.000 0.000 0.243 Be
0.000 0.000 0.757 Be
0.333 0.667 0.423 Be
0.333 0.667 0.910 Be
0.667 0.333 0.090 Be
0.667 0.333 0.577 Be
0.000 0.000 0.500 P
0.333 0.667 0.167 P
0.667 0.333 0.833 P